Entry from the Alexandria database: a relaxed Cu5Sn2Te7 crystal (PBE-GGA).

a = 13.7241 Å, b = 6.1175 Å, c = 9.7131 Å
α = 90.00°, β = 98.11°, γ = 90.00°
With the nearest neighbours (Å) after each atom.
Space group C2 (No. 5)
Asymmetric unit:
Cu 0.0000 0.0000 0.0000 x2  4 Te 2.59
Cu 0.1461 0.0057 0.4255 x4  4 Te 2.58-2.60
Cu 0.2142 0.5011 0.1419 x4  4 Te 2.58-2.59
Sn 0.0739 0.4906 0.7231 x4  4 Te 2.83-2.90
Te 0.0000 0.7871 0.5000 x2  2 Cu 2.60, 2 Sn 2.90
Te 0.0831 0.2319 0.2072 x4  3 Cu 2.58-2.59, 1 Sn 2.83
Te 0.1486 0.7704 0.9454 x4  3 Cu 2.59, 1 Sn 2.83
Te 0.2252 0.2295 0.6380 x4  3 Cu 2.58-2.59, 1 Sn 2.83

Calculated values
ΔE_f (raw): -0.15 eV per atom
Magnetic moment: 0.00 μB per atom
Total DFT energy (no corrections): -3.75 eV per atom